Entry from Alexandria via LeMat-Bulk: a relaxed structure of La7Sm2Ho3 (PBE-GGA).

Geometry as POSCAR:
```
La7Sm2Ho3
1.0
3.5929 0.0000 0.0000
0.0000 6.4953 0.9076
0.0000 2.3456 18.2370
La Sm Ho
7 2 3
direct
0.5000 0.2289 0.5092 La
0.5000 0.7711 0.4908 La
0.0000 0.5544 0.1662 La
0.0000 0.0000 0.0000 La
0.0000 0.4456 0.8338 La
0.5000 0.9446 0.8276 La
0.5000 0.0554 0.1724 La
0.5000 0.6110 0.3303 Sm
0.5000 0.3890 0.6697 Sm
0.5000 0.5000 0.0000 Ho
0.0000 0.1197 0.3383 Ho
0.0000 0.8803 0.6617 Ho
```

Values from the calculation:
ΔE_f (meV per atom): 61
Crystal system: monoclinic
SG: P2/m, No. 10